[1]
Density functional theory data (GGA-PBE) for NaAg4 after structural relaxation.

```
NaAg4
1.0
-3.996 -2.770 -0.740
2.859 -3.945 -0.675
-0.214 -0.978 4.815
Na Ag
1 4
direct
0.500 0.500 0.500
0.000 0.000 0.000
0.500 0.000 0.500
0.000 0.500 0.500
0.500 0.500 0.000
```

Calculated values
DFT formation energy: 0.83 eV/atom

[2]
Density functional theory data (GGA-PBE) for AgTeOs after structural relaxation.

```
AgTeOs
1.0
3.958 0.000 0.000
0.000 9.648 0.000
0.000 0.000 6.571
Te Os Ag
4 4 4
direct
0.250 0.331 0.691
0.750 0.669 0.691
0.250 0.831 0.191
0.750 0.169 0.191
0.250 0.584 0.959
0.750 0.416 0.959
0.250 0.084 0.459
0.750 0.916 0.459
0.250 0.891 0.780
0.750 0.109 0.780
0.250 0.391 0.280
0.750 0.609 0.280
```

Calculated values
raw formation energy: 0.4615 eV/atom

[3]
Density functional theory data (GGA-PBE) for Sm3TcCl2O6 after structural relaxation.

```
Sm3TcCl2O6
1.0
-4.402 3.468 -0.210
-1.108 -1.013 6.490
3.205 5.501 -2.013
Sm Tc Cl O
3 1 2 6
direct
0.000 0.500 0.000
0.500 0.500 0.500
0.500 0.000 0.500
0.500 0.000 0.000
0.137 0.713 0.426
0.863 0.287 0.574
0.701 0.291 0.113
0.299 0.709 0.887
0.670 0.838 0.676
0.330 0.162 0.324
0.299 0.178 0.887
0.701 0.822 0.113
```

Calculated values
raw formation energy: -2.2350 eV/atom

[4]
Density functional theory data (GGA-PBE) for TlSbOs2 after structural relaxation.

```
TlSbOs2
1.0
2.902 0.000 0.000
0.000 3.696 0.000
0.000 0.000 8.159
Os Sb Tl
2 1 1
direct
0.000 0.000 0.070
0.500 0.500 0.205
0.000 0.000 0.423
0.500 0.500 0.802
```

Calculated values
raw formation energy: 0.5563 eV/atom

[5]
Density functional theory data (GGA-PBE) for Ti4MnCo3 after structural relaxation.

```
Ti4MnCo3
1.0
2.994 0.000 0.000
0.000 2.994 0.000
0.000 0.000 11.677
Mn Co Ti
1 3 4
direct
0.500 0.500 0.000
0.500 0.500 0.254
0.500 0.500 0.500
0.500 0.500 0.746
0.000 0.000 0.878
0.000 0.000 0.122
0.000 0.000 0.375
0.000 0.000 0.625
```

Calculated values
DFT formation energy: -0.39 eV/atom